No. 1
! PBEsol CeIrPt, relaxed; values from VASP
&SYSTEM
  ibrav = 0, nat = 6, ntyp = 3
/
ATOMIC_SPECIES
Ce 140.12 Ce.upf
Pt 195.08 Pt.upf
Ir 192.22 Ir.upf
CELL_PARAMETERS angstrom
5.2928 0.0000 0.0000
2.6464 4.6531 -0.0012
2.6464 1.5208 4.3976
ATOMIC_POSITIONS crystal
Ce 0.1286 0.1214 0.6214
Ce 0.8714 0.8786 0.3786
Pt 0.5000 0.5000 0.0000
Pt 0.0000 0.5000 0.0000
Ir 0.5000 0.5000 0.5000
Ir 0.5000 0.0000 0.0000
! E_form	-0.860	eV per atom
! calculated density	16.17	Mg/m³

---

No. 2
! PBEsol CeSi2Ir3, relaxed; values from VASP
&SYSTEM
  ibrav = 0, nat = 12, ntyp = 3
/
ATOMIC_SPECIES
Ce 140.12 Ce.upf
Si 28.09 Si.upf
Ir 192.22 Ir.upf
CELL_PARAMETERS angstrom
5.5584 0.0000 0.0000
2.7792 6.0105 -0.0101
2.7792 1.7207 5.7589
ATOMIC_POSITIONS crystal
Ce 0.9669 0.7500 0.7500
Ce 0.0331 0.2500 0.2500
Si 0.6163 0.5804 0.5804
Si 0.2771 0.9196 0.9196
Si 0.7229 0.0804 0.0804
Si 0.3837 0.4196 0.4196
Ir 0.0000 0.2829 0.7171
Ir 0.0000 0.7171 0.2829
Ir 0.5000 0.2171 0.7829
Ir 0.5000 0.5000 0.0000
Ir 0.5000 0.0000 0.5000
Ir 0.5000 0.7829 0.2171
! calculated total energy	-106.3	eV/cell
! calculated density	13.34	Mg/m³

---

No. 3
! PBEsol CeSi3Ir, relaxed; values from VASP
&SYSTEM
  ibrav = 0, nat = 5, ntyp = 3
/
ATOMIC_SPECIES
Ir 192.22 Ir.upf
Si 28.09 Si.upf
Ce 140.12 Ce.upf
CELL_PARAMETERS angstrom
-4.1801 0.3007 -0.1527
-0.2727 -1.8973 3.7300
2.4564 5.1199 0.4264
ATOMIC_POSITIONS crystal
Ir 0.3430 0.3430 0.6859
Si 0.5834 0.5834 0.1668
Si 0.7324 0.2324 0.4647
Si 0.2324 0.7324 0.4647
Ce 0.9999 0.9999 0.9998
! calculated total energy	-38.0	eV/cell
! calculated density	8.09	Mg/m³

---

> Which of these has the lowest calculated density?

CeSi3Ir